Entry 1:
PBE-GGA LiCeAlCd, optimized geometry; formation energy = -0.1737 eV/atom; space group = F-43m; electronic total energy = -3.3001 eV/atom
1.0
4.9341 0.0000 0.0000
2.4671 4.2731 0.0000
2.4671 1.4244 4.0287
Al Ce Cd Li
1 1 1 1
Direct
0.5000 0.5000 0.5000 Al
0.2500 0.2500 0.2500 Ce
0.7500 0.7500 0.7500 Cd
0.0000 0.0000 0.0000 Li

Entry 2:
PBE-GGA K2In5Pt, optimized geometry; formation energy = -0.1113 eV/atom; space group = P4/mmm; electronic total energy = -2.8523 eV/atom
1.0
5.2913 0.0000 0.0000
0.0000 6.9120 0.0000
0.0000 0.0000 6.9120
In Pt K
5 1 2
Direct
0.5000 0.0000 0.0000 In
0.0000 0.2822 0.7178 In
0.0000 0.7178 0.2822 In
0.0000 0.7178 0.7178 In
0.0000 0.2822 0.2822 In
0.0000 0.0000 0.0000 Pt
0.5000 0.0000 0.5000 K
0.5000 0.5000 0.0000 K

Entry 3:
PBE-GGA Ba2MnS4, optimized geometry; E_form (uncorrected) = -951.0 kJ/mol of formula units; space group = Pnma; electronic total energy = -5.6259 eV/atom
1.0
6.6607 0.0000 0.0000
0.0000 9.1346 0.0000
0.0000 0.0000 12.2243
Mn Ba S
4 8 16
Direct
0.2500 0.2296 0.0716 Mn
0.7500 0.2704 0.5716 Mn
0.2500 0.7296 0.4284 Mn
0.7500 0.7704 0.9284 Mn
0.2500 0.4785 0.6650 Ba
0.2500 0.6305 0.0910 Ba
0.7500 0.8695 0.5910 Ba
0.2500 0.1305 0.4090 Ba
0.7500 0.3695 0.9090 Ba
0.7500 0.5215 0.3350 Ba
0.7500 0.0215 0.1650 Ba
0.2500 0.9785 0.8350 Ba
0.9883 0.3293 0.1445 S
0.4883 0.1707 0.6445 S
0.7500 0.5075 0.6032 S
0.0117 0.6707 0.8555 S
0.2500 0.3131 0.9042 S
0.0117 0.1707 0.6445 S
0.7500 0.0075 0.8968 S
0.9883 0.8293 0.3555 S
0.5117 0.3293 0.1445 S
0.2500 0.9925 0.1032 S
0.5117 0.8293 0.3555 S
0.2500 0.8131 0.5958 S
0.4883 0.6707 0.8555 S
0.7500 0.6869 0.0958 S
0.7500 0.1869 0.4042 S
0.2500 0.4925 0.3968 S

Entry 4:
PBE-GGA Tb4Ga3Cu, optimized geometry; formation energy = -0.4975 eV/atom; distance to the lowest polymorph of the same formula = 0.00 eV/f.u.; space group = Pmm2; electronic total energy = -4.4597 eV/atom
1.0
4.1209 0.0000 0.0000
0.0000 4.2153 0.0000
0.0000 0.0000 10.9472
Ga Tb Cu
3 4 1
Direct
0.0000 0.0000 0.4250 Ga
0.0000 0.5000 0.5746 Ga
0.5000 0.0000 0.9274 Ga
0.5000 0.0000 0.6455 Tb
0.5000 0.5000 0.3516 Tb
0.0000 0.5000 0.8646 Tb
0.0000 0.0000 0.1410 Tb
0.5000 0.5000 0.0702 Cu

Entry 5:
PBE-GGA PaPN3Cl, optimized geometry; E_form (uncorrected) = -404.9 kJ/mol of formula units; space group = C2/m; electronic total energy = -7.6542 eV/atom
1.0
-0.1597 0.0578 -3.0743
-5.5631 -3.4139 1.7666
-1.5064 10.2823 0.2715
Cl N Pa P
2 6 2 2
Direct
0.2968 0.5935 0.8463 Cl
0.7032 0.4065 0.1537 Cl
0.5031 0.0062 0.7758 N
0.8476 0.6953 0.5785 N
0.9316 0.8633 0.3751 N
0.0684 0.1367 0.6249 N
0.4969 0.9938 0.2242 N
0.1524 0.3047 0.4215 N
0.6850 0.3699 0.6198 Pa
0.3150 0.6301 0.3802 Pa
0.0211 0.0422 0.2973 P
0.9789 0.9578 0.7027 P

Entry 6:
PBE-GGA LiZrO2, optimized geometry; E_form (uncorrected) = -1003.4 kJ/mol of formula units; space group = I4_1/amd; electronic total energy = -7.6944 eV/atom
1.0
-3.8755 -3.2427 -1.9936
1.9314 -3.0781 -4.0378
1.7494 0.9818 5.0483
O Li Zr
4 2 2
Direct
0.0060 0.5060 0.5000 O
0.2560 0.2560 0.0000 O
0.7440 0.7440 0.0000 O
0.4940 0.9940 0.5000 O
0.5000 0.5000 0.0000 Li
0.2500 0.7500 0.5000 Li
0.0000 0.0000 0.0000 Zr
0.7500 0.2500 0.5000 Zr

Entry 7:
PBE-GGA LaTm4Pb4, optimized geometry; formation energy = -0.2120 eV/atom; space group = P4_2/n; electronic total energy = -4.3950 eV/atom
1.0
-3.7925 4.8136 0.1324
-3.0292 -2.6410 9.2505
7.3215 5.6582 4.0129
Pb Tm La
8 8 2
Direct
0.0732 0.1414 0.2951 Pb
0.9268 0.7049 0.1414 Pb
0.5732 0.2049 0.6414 Pb
0.4268 0.6414 0.7951 Pb
0.4268 0.3586 0.2049 Pb
0.0732 0.8586 0.7049 Pb
0.9268 0.2951 0.8586 Pb
0.5732 0.7951 0.3586 Pb
0.9154 0.3946 0.1458 Tm
0.4154 0.3542 0.8946 Tm
0.5846 0.8946 0.6458 Tm
0.0846 0.1458 0.6054 Tm
0.4154 0.6458 0.1054 Tm
0.5846 0.1054 0.3542 Tm
0.0846 0.8542 0.3946 Tm
0.9154 0.6054 0.8542 Tm
0.0000 0.0000 0.0000 La
0.5000 0.5000 0.5000 La

Entry 8:
PBE-GGA PrMgSnRh, optimized geometry; formation energy = -0.5110 eV/atom; space group = F-43m; electronic total energy = -4.9431 eV/atom
1.0
-2.4501 2.4666 -3.4773
0.6586 -1.1277 -4.7406
-3.5911 -2.2198 -2.5211
Mg Rh Pr Sn
1 1 1 1
Direct
0.0000 0.0000 0.0000 Mg
0.5000 0.5000 0.5000 Rh
0.7500 0.7500 0.7500 Pr
0.2500 0.2500 0.2500 Sn

Entry 9:
PBE-GGA Ho2Tm3Cu4, optimized geometry; formation energy = -0.2064 eV/atom; space group = P2_1/c; electronic total energy = -4.5347 eV/atom
1.0
6.9739 -0.1974 0.0000
-2.5027 7.9954 0.0000
0.0000 0.0000 7.1773
Cu Tm Ho
8 6 4
Direct
0.3784 0.4897 0.3744 Cu
0.8784 0.4897 0.1256 Cu
0.1216 0.5103 0.8744 Cu
0.6216 0.5103 0.6256 Cu
0.8480 0.0656 0.5307 Cu
0.3480 0.0656 0.9693 Cu
0.1520 0.9344 0.4693 Cu
0.6520 0.9344 0.0307 Cu
0.7708 0.7650 0.3259 Tm
0.2292 0.2350 0.6741 Tm
0.2708 0.7650 0.1741 Tm
0.0000 0.5000 0.5000 Tm
0.7292 0.2350 0.8259 Tm
0.5000 0.5000 0.0000 Tm
0.5607 0.1887 0.3199 Ho
0.9393 0.8113 0.8199 Ho
0.4393 0.8113 0.6801 Ho
0.0607 0.1887 0.1801 Ho

Entry 10:
PBE-GGA Rb3PrAs2O8, optimized geometry; E_form (uncorrected) = -2659.4 kJ/mol of formula units; space group = P-3m1; electronic total energy = -6.0150 eV/atom
1.0
-5.7118 -1.9834 -1.0074
3.9219 0.5536 -4.6782
2.4813 -7.7372 1.1646
O Rb Pr As
8 3 1 2
Direct
0.8192 0.1808 0.6703 O
0.3616 0.1808 0.6703 O
0.6384 0.8192 0.3297 O
0.1808 0.3616 0.3297 O
0.8192 0.6384 0.6703 O
0.3333 0.6667 0.0473 O
0.6667 0.3333 0.9527 O
0.1808 0.8192 0.3297 O
0.6667 0.3333 0.2812 Rb
0.3333 0.6667 0.7188 Rb
0.0000 0.0000 0.0000 Rb
0.0000 0.0000 0.5000 Pr
0.6667 0.3333 0.7477 As
0.3333 0.6667 0.2523 As

Entry 11:
PBE-GGA Cr3Ir, optimized geometry; formation energy = 0.0504 eV/atom; space group = Fm-3m; electronic total energy = -9.3824 eV/atom
1.0
-3.1211 -2.7863 -0.1522
0.4445 -3.5220 -2.2194
0.3797 -3.6779 1.9639
Ir Cr
1 3
Direct
0.2500 0.2500 0.2500 Ir
0.0000 0.0000 0.0000 Cr
0.5000 0.5000 0.5000 Cr
0.7500 0.7500 0.7500 Cr

Entry 12:
PBE-GGA ZnNi2H, optimized geometry; distance to the lowest polymorph of the same formula = 0.78 eV/f.u.; space group = Fd-3m; electronic total energy = -3.9769 eV/atom
1.0
4.9674 0.0000 0.0000
2.4837 4.3019 0.0000
2.4837 1.4340 4.0559
Ni H Zn
4 2 2
Direct
0.1250 0.1250 0.1250 Ni
0.1250 0.6250 0.1250 Ni
0.1250 0.1250 0.6250 Ni
0.6250 0.1250 0.1250 Ni
0.0000 0.0000 0.0000 H
0.2500 0.2500 0.2500 H
0.5000 0.5000 0.5000 Zn
0.7500 0.7500 0.7500 Zn

Entry 13:
PBE-GGA Nd8In2Rh, optimized geometry; formation energy = -0.2953 eV/atom; space group = C2/m; electronic total energy = -4.9290 eV/atom
1.0
5.2528 0.0000 0.0000
0.0000 6.9602 0.2891
-2.6264 -2.6006 9.2031
Nd Rh In
8 1 2
Direct
0.3538 0.0269 0.7077 Nd
0.2091 0.2985 0.4181 Nd
0.5909 0.4515 0.1817 Nd
0.4091 0.5485 0.8183 Nd
0.7909 0.7015 0.5819 Nd
0.6462 0.9731 0.2923 Nd
0.9835 0.2212 0.9670 Nd
0.0165 0.7788 0.0330 Nd
0.5000 0.0000 0.0000 Rh
0.8148 0.2556 0.6295 In
0.1852 0.7444 0.3705 In

Entry 14:
PBE-GGA PmNdAgRh, optimized geometry; formation energy = -0.4778 eV/atom; distance to the lowest polymorph of the same formula = 0.00 eV/f.u.; space group = P4mm; electronic total energy = -5.4080 eV/atom
1.0
3.6008 0.0000 0.0000
0.0000 3.6008 0.0000
0.0000 0.0000 7.4276
Rh Pm Ag Nd
1 1 1 1
Direct
0.0000 0.0000 0.3535 Rh
0.5000 0.5000 0.1284 Pm
0.0000 0.0000 0.8608 Ag
0.5000 0.5000 0.5853 Nd

Entry 15:
PBE-GGA Sm8SiGe3I4, optimized geometry; E_form (uncorrected) = -1529.2 kJ/mol of formula units; space group = R-3m; electronic total energy = -4.9423 eV/atom
1.0
8.6170 0.0000 0.0000
0.0000 9.0651 0.3143
-4.3085 -4.3085 6.0932
Ge Sm I Si
3 8 4 1
Direct
0.5000 0.5000 0.0000 Ge
0.0000 0.5000 0.5000 Ge
0.5000 0.5000 0.5000 Ge
0.2310 0.6969 0.4620 Sm
0.2674 0.3024 0.5349 Sm
0.7351 0.6969 0.9661 Sm
0.7326 0.6976 0.4651 Sm
0.2310 0.6969 0.9661 Sm
0.2649 0.3031 0.0339 Sm
0.7690 0.3031 0.5380 Sm
0.7690 0.3031 0.0339 Sm
0.5000 0.0000 0.5000 I
0.0000 0.0000 0.5000 I
0.5000 0.0000 0.0000 I
0.0000 0.0000 0.0000 I
0.0000 0.5000 0.0000 Si

Entry 16:
PBE-GGA SrLiMgZn2, optimized geometry; formation energy = -0.1543 eV/atom; space group = I-4m2; electronic total energy = -1.7019 eV/atom
1.0
4.3951 0.0000 0.0000
0.0000 4.3951 0.0000
-2.1975 -2.1975 6.1882
Mg Li Sr Zn
1 1 1 2
Direct
0.2500 0.7500 0.5000 Mg
0.7500 0.2500 0.5000 Li
0.0000 0.0000 0.0000 Sr
0.3943 0.3943 0.7886 Zn
0.6057 0.6057 0.2114 Zn

Entry 17:
PBE-GGA LaCr2Ni, optimized geometry; formation energy = 0.6185 eV/atom; distance to the lowest polymorph of the same formula = 1.50 eV/f.u.; space group = I4/mmm; electronic total energy = -6.8703 eV/atom
1.0
-1.7246 -4.6772 0.9871
-0.2930 -2.3604 -4.4908
3.8838 2.5289 2.0845
Cr La Ni
2 1 1
Direct
0.0000 0.0000 0.0000 Cr
0.5000 0.5000 0.0000 Cr
0.2500 0.7500 0.5000 La
0.7500 0.2500 0.5000 Ni

Entry 18:
PBE-GGA BAsPd, optimized geometry; formation energy = 0.0577 eV/atom; distance to the lowest polymorph of the same formula = 0.27 eV/f.u.; space group = C2; electronic total energy = -5.4488 eV/atom
1.0
-4.7381 0.5880 -2.4247
-1.1449 -2.8023 1.5577
-0.7455 5.0712 8.5753
B As Pd
4 4 4
Direct
0.0846 0.3064 0.4398 B
0.9154 0.3064 0.5602 B
0.9154 0.8064 0.0602 B
0.0846 0.8064 0.9398 B
0.2500 0.7984 0.3873 As
0.7500 0.2984 0.1127 As
0.7500 0.7984 0.6127 As
0.2500 0.2984 0.8873 As
0.6813 0.5096 0.3422 Pd
0.3187 0.5096 0.6578 Pd
0.3187 0.0096 0.1578 Pd
0.6813 0.0096 0.8422 Pd

Entry 19:
PBE-GGA Sb2PICl, optimized geometry; distance to the lowest polymorph of the same formula = 0.00 eV/f.u.; E_form (uncorrected) = 222.6 kJ/mol of formula units; space group = P4/mmm; electronic total energy = -2.9489 eV/atom
1.0
-0.5733 3.2097 -4.2242
2.8005 -3.4255 -2.9829
-4.5367 -2.5548 -1.3255
I Sb P Cl
1 2 1 1
Direct
0.0000 0.0000 0.5000 I
0.5000 0.0000 0.0000 Sb
0.0000 0.5000 0.0000 Sb
0.0000 0.0000 0.0000 P
0.5000 0.5000 0.5000 Cl

Entry 20:
PBE-GGA PmSmDy2Ho5, optimized geometry; formation energy = 0.2842 eV/atom; space group = I4/mcm; electronic total energy = -4.3339 eV/atom
1.0
-6.2600 -6.1669 -0.9536
4.6431 -3.7008 -6.5477
4.3170 0.6096 8.6827
Ho Dy Pm Sm
10 4 2 2
Direct
0.9285 0.4285 0.2663 Ho
0.4285 0.3378 0.2663 Ho
0.5000 0.5000 0.0000 Ho
0.6622 0.1622 0.7337 Ho
0.0715 0.5715 0.7337 Ho
0.3378 0.8378 0.2663 Ho
0.8378 0.9285 0.2663 Ho
0.5715 0.6622 0.7337 Ho
0.1622 0.0715 0.7337 Ho
0.0000 0.0000 0.0000 Ho
0.1143 0.3857 0.0000 Dy
0.8857 0.6143 0.0000 Dy
0.6143 0.1143 0.0000 Dy
0.3857 0.8857 0.0000 Dy
0.7500 0.7500 0.5000 Pm
0.2500 0.2500 0.5000 Pm
0.7500 0.2500 0.5000 Sm
0.2500 0.7500 0.5000 Sm

Entry 21:
PBE-GGA PrTmCd, optimized geometry; formation energy = -0.0729 eV/atom; distance to the lowest polymorph of the same formula = 0.35 eV/f.u.; space group = P3m1; electronic total energy = -3.4616 eV/atom
1.0
-0.0306 -1.3772 3.4470
-1.8694 -4.5809 -1.8468
5.2120 0.7739 0.3555
Pr Cd Tm
1 1 1
Direct
0.6461 0.6667 0.3333 Pr
0.2469 0.3333 0.6667 Cd
0.1070 0.0000 0.0000 Tm

Entry 22:
PBE-GGA Nd2Si3GeIr4, optimized geometry; E_form (uncorrected) = -936.6 kJ/mol of formula units; space group = P-4m2; electronic total energy = -7.5573 eV/atom
1.0
-1.0425 -3.1733 2.5771
3.9598 -1.4446 -0.1769
2.3954 5.6026 7.8676
Nd Ir Si Ge
2 4 3 1
Direct
0.0000 0.5000 0.7456 Nd
0.5000 0.0000 0.2544 Nd
0.0000 0.5000 0.3695 Ir
0.5000 0.5000 0.0000 Ir
0.0000 0.0000 0.0000 Ir
0.5000 0.0000 0.6305 Ir
0.0000 0.5000 0.1285 Si
0.5000 0.0000 0.8715 Si
0.0000 0.0000 0.5000 Si
0.5000 0.5000 0.5000 Ge